Entry 1:
Material: Na5Tl4
Method: DFT, PBE
State: optimized geometry

a = 5.018 Å, b = 5.936 Å, c = 10.141 Å
α = 107.90°, β = 90.00°, γ = 115.01°
Fractional coordinates of all 9 atoms:
Tl 0.333 0.666 0.605
Tl 0.667 0.333 0.060
Tl 0.667 0.334 0.395
Tl 0.333 0.667 0.940
Na 0.003 0.006 0.838
Na 0.997 0.994 0.162
Na 0.000 0.000 0.500
Na 0.327 0.654 0.275
Na 0.673 0.346 0.725

Properties
DFT formation energy: -107.4 meV per atom
offset from the most stable computed form: 0 meV/atom
space-group type: No. 12


Entry 2:
Material: SiMoRu2
Method: DFT, PBE
State: optimized geometry

a = 4.063 Å, b = 2.787 Å, c = 5.192 Å
α = 74.32°, β = 90.00°, γ = 90.00°
Fractional coordinates of all 4 atoms:
Mo 0.500 0.694 0.736
Si 0.000 0.311 0.505
Ru 0.500 0.433 0.257
Ru 0.000 0.061 0.002

Properties
space-group type: No. 6
raw formation energy: -156 meV/atom


Entry 3:
Material: LaTlW2
Method: DFT, PBE
State: optimized geometry

a = 10.760 Å, b = 10.760 Å, c = 10.760 Å
α = 16.17°, β = 16.17°, γ = 16.17°
Site moments in Bohr magnetons follow the coordinates.
Fractional coordinates of all 4 atoms:
W 0.007 0.007 0.007  0.01
W 0.493 0.493 0.493  0.01
Tl 0.750 0.750 0.750  0.00
La 0.250 0.250 0.250  -0.11

Properties
DFT formation energy: 1120.2 meV per atom
offset from the most stable computed form: 784 meV/atom
space-group type: No. 166


Please write out number 3 again, unchanged.
Material: LaTlW2
Method: DFT, PBE
State: optimized geometry

a = 10.760 Å, b = 10.760 Å, c = 10.760 Å
α = 16.17°, β = 16.17°, γ = 16.17°
Site moments in Bohr magnetons follow the coordinates.
Fractional coordinates of all 4 atoms:
W 0.007 0.007 0.007  0.01
W 0.493 0.493 0.493  0.01
Tl 0.750 0.750 0.750  0.00
La 0.250 0.250 0.250  -0.11

Properties
DFT formation energy: 1120.2 meV per atom
offset from the most stable computed form: 784 meV/atom
space-group type: No. 166